Material: CaTbSmY
Method: DFT, PBE
State: optimized geometry

a b c (Å): 8.1890 8.1890 8.1890
angles (deg): 90.00 90.00 90.00
Fractional positions:
Ca (0.0000, 0.0000, 0.0000)
Ca (0.0000, 0.5000, 0.5000)
Ca (0.5000, 0.0000, 0.5000)
Ca (0.5000, 0.5000, 0.0000)
Tb (0.0000, 0.0000, 0.5000)
Tb (0.0000, 0.5000, 0.0000)
Tb (0.5000, 0.0000, 0.0000)
Tb (0.5000, 0.5000, 0.5000)
Sm (0.2500, 0.2500, 0.2500)
Sm (0.2500, 0.7500, 0.7500)
Sm (0.7500, 0.2500, 0.7500)
Sm (0.7500, 0.7500, 0.2500)
Y (0.2500, 0.2500, 0.7500)
Y (0.2500, 0.7500, 0.2500)
Y (0.7500, 0.2500, 0.2500)
Y (0.7500, 0.7500, 0.7500)

Results
DFT formation energy (eV per atom): 0.15
SG: F-43m